PBE Ta2RhC2, relaxed; density of states at the Fermi level = 3.34 states/eV/cell; offset from the most stable computed form = 76 meV per atom; volume = 71.8 Å³/f.u.; energy of formation from the pure elements = 0.0613 eV per atom; size of the total moment = 0.00 μB per cell
1.0
-2.1552 2.1552 3.8656
2.1552 -2.1552 3.8656
2.1552 2.1552 -3.8656
Ta Rh C
2 1 2
Direct
0.2500 0.7500 0.5000 Ta
0.7500 0.2500 0.5000 Ta
0.0000 0.0000 0.0000 Rh
0.2766 0.2766 0.0000 C
0.7234 0.7234 0.0000 C